A plane-wave DFT calculation with SCAN was carried out for a crystal of SiAs2W relaxed with PBEsol.

Results
The value obtained for the size of the total moment is 0.00 μB/f.u. As for the volume: 15.76 Å³/atom. The density of states at the Fermi level comes out at 2.374 states/eV per cell. The formation energy from raw total energies is 0.7113 eV/atom.

Cell: 3.120 4.468 4.522 Å, 90.00 90.00 90.00°
Space group Pmmm (No. 47)
One atom of each set of equivalent atoms:
Si  0.000  0.000  0.000 [1 per cell]
As  0.000  0.500  0.500 [1 per cell]
As  0.500  0.500  0.000 [1 per cell]
W  0.500  0.000  0.500 [1 per cell]

---

A plane-wave DFT calculation with SCAN was carried out for a crystal of Si2AsW relaxed with PBEsol.

Results
The value obtained for the size of the total moment is 0.00 μB/f.u. As for the volume: 15.89 Å³/atom. The density of states at the Fermi level comes out at 4.577 states/eV per cell. The formation energy from raw total energies is 0.5256 eV/atom.

Cell: 3.422 4.148 8.956 Å, 90.00 90.00 90.00°
Space group Cmmm (No. 65)
One atom of each set of equivalent atoms:
Si  0.000  0.000  0.220 [4 per cell]
As  0.000  0.500  0.500 [2 per cell]
W  0.000  0.500  0.000 [2 per cell]

---

A plane-wave DFT calculation with SCAN was carried out for a crystal of Si2AsW relaxed with PBEsol.

Results
The value obtained for the size of the total moment is 0.00 μB/f.u. As for the volume: 14.66 Å³/atom. The density of states at the Fermi level comes out at 2.412 states/eV per cell. The formation energy from raw total energies is 0.6599 eV/atom.

Cell: 3.171 4.285 4.315 Å, 90.00 90.00 90.00°
Space group Pmmm (No. 47)
One atom of each set of equivalent atoms:
Si  0.000  0.000  0.000 [1 per cell]
Si  0.500  0.500  0.000 [1 per cell]
As  0.000  0.500  0.500 [1 per cell]
W  0.500  0.000  0.500 [1 per cell]

---

A plane-wave DFT calculation with SCAN was carried out for a crystal of SiAs2W relaxed with PBEsol.

Results
The value obtained for the size of the total moment is 1.83 μB/f.u. As for the volume: 21.78 Å³/atom. The density of states at the Fermi level comes out at 11.040 states/eV per cell. The formation energy from raw total energies is 0.6191 eV/atom.

Cell: 5.733 5.733 10.599 Å, 90.00 90.00 90.00°
Space group I-42d (No. 122)
One atom of each set of equivalent atoms:
Si  0.000  0.000  0.000 [4 per cell]
As  0.242  0.250  0.125 [8 per cell]
W  0.000  0.000  0.500 [4 per cell]

---

A plane-wave DFT calculation with SCAN was carried out for a crystal of Si2AsW relaxed with PBEsol.

Results
The value obtained for the size of the total moment is 0.00 μB/f.u. As for the volume: 15.69 Å³/atom. The density of states at the Fermi level comes out at 2.747 states/eV per cell. The formation energy from raw total energies is 0.3921 eV/atom.

Cell: 3.137 3.137 6.376 Å, 90.00 90.00 90.00°
Space group P4mm (No. 99)
One atom of each set of equivalent atoms:
Si  0.000  0.000  0.000 [1 per cell]
Si  0.500  0.500  0.215 [1 per cell]
As  0.500  0.500  0.654 [1 per cell]
W  0.000  0.000  0.425 [1 per cell]

---

A plane-wave DFT calculation with SCAN was carried out for a crystal of SiAsW2 relaxed with PBEsol.

Results
The value obtained for the size of the total moment is 0.00 μB/f.u. As for the volume: 15.01 Å³/atom. The density of states at the Fermi level comes out at 6.092 states/eV per cell. The distance to the lowest polymorph of the same formula is 0.511 eV per atom. The formation energy from raw total energies is 0.4690 eV/atom.

Cell: 3.981 3.981 7.576 Å, 90.00 90.00 90.00°
Space group I-4m2 (No. 119)
One atom of each set of equivalent atoms:
Si  0.000  0.000  0.000 [2 per cell]
As  0.000  0.500  0.750 [2 per cell]
W  0.000  0.000  0.500 [2 per cell]
W  0.000  0.500  0.250 [2 per cell]

---

A plane-wave DFT calculation with SCAN was carried out for a crystal of SiAs2W relaxed with PBEsol.

Results
The value obtained for the size of the total moment is 0.00 μB/f.u. As for the volume: 15.50 Å³/atom. The density of states at the Fermi level comes out at 2.722 states/eV per cell. The formation energy from raw total energies is 0.7394 eV/atom.

Cell: 4.457 4.457 3.122 Å, 90.00 90.00 90.00°
Space group P4/mmm (No. 123)
One atom of each set of equivalent atoms:
Si  0.000  0.000  0.000 [1 per cell]
As  0.000  0.500  0.500 [2 per cell]
W  0.500  0.500  0.000 [1 per cell]

---

A plane-wave DFT calculation with SCAN was carried out for a crystal of SiAs2W relaxed with PBEsol.

Results
The value obtained for the size of the total moment is 0.00 μB/f.u. As for the volume: 15.40 Å³/atom. The density of states at the Fermi level comes out at 3.059 states/eV per cell. The formation energy from raw total energies is 0.5428 eV/atom.

Cell: 3.425 4.485 8.017 Å, 90.00 90.00 90.00°
Space group Immm (No. 71)
One atom of each set of equivalent atoms:
Si  0.000  0.000  0.000 [2 per cell]
As  0.000  0.500  0.282 [4 per cell]
W  0.000  0.000  0.500 [2 per cell]

---

A plane-wave DFT calculation with SCAN was carried out for a crystal of SiAsW2 relaxed with PBEsol.

Results
The value obtained for the size of the total moment is 0.00 μB/f.u. As for the volume: 14.51 Å³/atom. The density of states at the Fermi level comes out at 3.795 states/eV per cell. The distance to the lowest polymorph of the same formula is 0.321 eV per atom. The formation energy from raw total energies is 0.2794 eV/atom.

Cell: 3.079 3.079 6.124 Å, 90.00 90.00 90.00°
Space group P4/mmm (No. 123)
One atom of each set of equivalent atoms:
Si  0.000  0.000  0.000 [1 per cell]
As  0.000  0.000  0.500 [1 per cell]
W  0.500  0.500  0.236 [2 per cell]

---

A plane-wave DFT calculation with SCAN was carried out for a crystal of Si2AsW relaxed with PBEsol.

Results
The value obtained for the size of the total moment is 0.00 μB/f.u. As for the volume: 14.76 Å³/atom. The density of states at the Fermi level comes out at 3.591 states/eV per cell. The formation energy from raw total energies is 0.3676 eV/atom.

Cell: 8.727 3.067 4.422 Å, 90.00 94.18 90.00°
Space group Cm (No. 8)
One atom of each set of equivalent atoms:
Si  0.000  0.000  0.000 [2 per cell]
Si  0.229  0.000  0.742 [2 per cell]
As  0.465  0.000  0.473 [2 per cell]
W  0.236  0.500  0.229 [2 per cell]

---

A plane-wave DFT calculation with SCAN was carried out for a crystal of SiAs2W relaxed with PBEsol.

Results
The value obtained for the size of the total moment is 0.00 μB/f.u. As for the volume: 16.45 Å³/atom. The density of states at the Fermi level comes out at 2.434 states/eV per cell. The formation energy from raw total energies is 0.7973 eV/atom.

Cell: 3.649 3.649 4.944 Å, 90.00 90.00 90.00°
Space group P4/mmm (No. 123)
One atom of each set of equivalent atoms:
Si  0.000  0.000  0.000 [1 per cell]
As  0.000  0.500  0.500 [2 per cell]
W  0.500  0.500  0.000 [1 per cell]

---

A plane-wave DFT calculation with SCAN was carried out for a crystal of SiAsW2 relaxed with PBEsol.

Results
The value obtained for the size of the total moment is 0.00 μB/f.u. As for the volume: 14.91 Å³/atom. The density of states at the Fermi level comes out at 2.681 states/eV per cell. The distance to the lowest polymorph of the same formula is 0.285 eV per atom. The formation energy from raw total energies is 0.2434 eV/atom.

Cell: 2.957 4.616 4.369 Å, 90.00 90.00 90.00°
Space group Pmm2 (No. 25)
One atom of each set of equivalent atoms:
Si  0.000  0.000  0.000 [1 per cell]
As  0.500  0.500  0.205 [1 per cell]
W  0.000  0.500  0.709 [1 per cell]
W  0.500  0.000  0.502 [1 per cell]

---

A plane-wave DFT calculation with SCAN was carried out for a crystal of SiAsW2 relaxed with PBEsol.

Results
The value obtained for the size of the total moment is 0.00 μB/f.u. As for the volume: 14.58 Å³/atom. The density of states at the Fermi level comes out at 1.162 states/eV per cell. The distance to the lowest polymorph of the same formula is 0.000 eV per atom. The formation energy from raw total energies is -0.0418 eV/atom.

Cell: 3.199 3.199 5.700 Å, 90.00 90.00 90.00°
Space group P4mm (No. 99)
One atom of each set of equivalent atoms:
Si  0.000  0.000  0.000 [1 per cell]
As  0.500  0.500  0.728 [1 per cell]
W  0.000  0.000  0.514 [1 per cell]
W  0.500  0.500  0.197 [1 per cell]

---

A plane-wave DFT calculation with SCAN was carried out for a crystal of Y3SiAs relaxed with PBEsol.

Results
The value obtained for the size of the total moment is 0.00 μB/f.u. As for the volume: 28.48 Å³/atom. The density of states at the Fermi level comes out at 2.888 states/eV per cell. The formation energy from raw total energies is -0.3955 eV/atom.

Cell: 5.222 5.222 5.222 Å, 90.00 90.00 90.00°
Space group Pm-3m (No. 221)
One atom of each set of equivalent atoms:
Y  0.000  0.000  0.500 [3 per cell]
Si  0.500  0.500  0.500 [1 per cell]
As  0.000  0.000  0.000 [1 per cell]

---

A plane-wave DFT calculation with SCAN was carried out for a crystal of Y2SiAs relaxed with PBEsol.

Results
The value obtained for the size of the total moment is 0.00 μB/f.u. As for the volume: 22.04 Å³/atom. The density of states at the Fermi level comes out at 4.866 states/eV per cell. The distance to the lowest polymorph of the same formula is 0.000 eV per atom. The formation energy from raw total energies is -0.8354 eV/atom.

Cell: 4.320 5.358 7.615 Å, 90.00 90.00 90.00°
Space group Immm (No. 71)
One atom of each set of equivalent atoms:
Y  0.000  0.000  0.247 [4 per cell]
Si  0.000  0.500  0.000 [2 per cell]
As  0.000  0.500  0.500 [2 per cell]

---

A plane-wave DFT calculation with SCAN was carried out for a crystal of Y2SiAs relaxed with PBEsol.

Results
The value obtained for the size of the total moment is 0.00 μB/f.u. As for the volume: 23.52 Å³/atom. The density of states at the Fermi level comes out at 5.698 states/eV per cell. The distance to the lowest polymorph of the same formula is 0.051 eV per atom. The formation energy from raw total energies is -0.7844 eV/atom.

Cell: 7.510 7.510 6.673 Å, 90.00 90.00 90.00°
Space group I-42d (No. 122)
One atom of each set of equivalent atoms:
Y  0.248  0.750  0.125 [8 per cell]
Si  0.000  0.000  0.500 [4 per cell]
As  0.000  0.000  0.000 [4 per cell]

---

A plane-wave DFT calculation with SCAN was carried out for a crystal of Y2SiAs relaxed with PBEsol.

Results
The value obtained for the size of the total moment is 0.00 μB/f.u. As for the volume: 21.39 Å³/atom. The density of states at the Fermi level comes out at 5.512 states/eV per cell. The distance to the lowest polymorph of the same formula is 0.074 eV per atom. The formation energy from raw total energies is -0.7617 eV/atom.

Cell: 4.717 4.717 7.693 Å, 90.00 90.00 90.00°
Space group I4/mmm (No. 139)
One atom of each set of equivalent atoms:
Y  0.000  0.500  0.250 [4 per cell]
Si  0.000  0.000  0.000 [2 per cell]
As  0.000  0.000  0.500 [2 per cell]

---

A plane-wave DFT calculation with SCAN was carried out for a crystal of ZnSi2As relaxed with PBEsol.

Results
The value obtained for the size of the total moment is 0.00 μB/f.u. As for the volume: 15.91 Å³/atom. The density of states at the Fermi level comes out at 1.484 states/eV per cell. The formation energy from raw total energies is 0.5521 eV/atom.

Cell: 2.645 4.580 5.255 Å, 90.00 90.00 90.00°
Space group Pmmm (No. 47)
One atom of each set of equivalent atoms:
Zn  0.000  0.000  0.000 [1 per cell]
Si  0.500  0.500  0.244 [2 per cell]
As  0.000  0.000  0.500 [1 per cell]

---

A plane-wave DFT calculation with SCAN was carried out for a crystal of ZrSiAs relaxed with PBEsol.

Results
The value obtained for the size of the total moment is 0.00 μB/f.u. As for the volume: 17.67 Å³/atom. The density of states at the Fermi level comes out at 5.922 states/eV per cell. The formation energy from raw total energies is -0.7727 eV/atom.

Cell: 6.442 3.557 9.257 Å, 90.00 90.00 90.00°
Space group Pnma (No. 62)
One atom of each set of equivalent atoms:
Zr  0.223  0.250  0.161 [4 per cell]
Si  0.117  0.250  0.459 [4 per cell]
As  0.117  0.250  0.858 [4 per cell]

---

A plane-wave DFT calculation with SCAN was carried out for a crystal of Zr4SiAs relaxed with PBEsol.

Results
The value obtained for the size of the total moment is 0.00 μB/f.u. As for the volume: 20.22 Å³/atom. The density of states at the Fermi level comes out at 20.157 states/eV per cell. The formation energy from raw total energies is 0.2797 eV/atom.

Cell: 7.858 7.858 7.858 Å, 90.00 90.00 90.00°
Space group F-43m (No. 216)
One atom of each set of equivalent atoms:
Zr  0.124  0.124  0.376 [16 per cell]
Si  0.250  0.250  0.750 [4 per cell]
As  0.000  0.000  0.000 [4 per cell]